[1]
Here is an optimized crystal structure of Pu4PtRh3 from Alexandria via LeMat-Bulk. Energies are from PBE-GGA.

Unit cell a=6.895 b=6.895 c=6.895 alpha=90.00 beta=90.00 gamma=90.00
Space group Im-3m (No. 229)
One atom of each set of equivalent atoms:
Pu  0.250  0.250  0.250 (multiplicity 8)
Pt  0.000  0.000  0.000 (multiplicity 2)
Rh  0.000  0.000  0.500 (multiplicity 6)

***

[2]
Here is an optimized crystal structure of PuPtRh2 from Alexandria via LeMat-Bulk. Energies are from PBE-GGA.

Unit cell a=5.234 b=4.377 c=6.287 alpha=90.00 beta=90.00 gamma=90.00
Space group Pmma (No. 51)
One atom of each set of equivalent atoms:
Pu  0.250  0.000  0.196 (multiplicity 2)
Pt  0.250  0.500  0.885 (multiplicity 2)
Rh  0.000  0.500  0.500 (multiplicity 2)
Rh  0.250  0.000  0.639 (multiplicity 2)

***

Table of formation enthalpy at 0 K (meV/atom), in record order: -500.6; -420.1